No. 1
Here is an optimized crystal structure of V2ReSi4 from Alexandria via LeMat-Bulk. Energies are from GGA-PBE.

Cell: 4.5777 4.5777 12.0970 Å, 90.00 90.00 90.00°
Closest atoms and distances in Å follow each position.
Element x y z (fractional)
V (0.0000, 0.0000, 0.0950)  1 V 2.30, 5 Si 2.45-2.56
V (0.0000, 0.0000, 0.9050)  1 V 2.30, 5 Si 2.45-2.56
V (0.5000, 0.5000, 0.4050)  1 V 2.30, 5 Si 2.45-2.56
V (0.5000, 0.5000, 0.5950)  1 V 2.30, 5 Si 2.45-2.56
Re (0.0000, 0.0000, 0.5000)  6 Si 2.29-2.45
Re (0.5000, 0.5000, 0.0000)  6 Si 2.29-2.45
Si (0.0000, 0.0000, 0.2973)  1 V 2.45, 1 Re 2.45
Si (0.0000, 0.0000, 0.7027)  1 V 2.45, 1 Re 2.45
Si (0.0000, 0.5000, 0.0000)  2 Re 2.29, 4 V 2.56
Si (0.0000, 0.5000, 0.5000)  2 Re 2.29, 4 V 2.56
Si (0.5000, 0.0000, 0.0000)  2 Re 2.29, 4 V 2.56
Si (0.5000, 0.0000, 0.5000)  2 Re 2.29, 4 V 2.56
Si (0.5000, 0.5000, 0.2027)  1 V 2.45, 1 Re 2.45
Si (0.5000, 0.5000, 0.7973)  1 V 2.45, 1 Re 2.45

magnetization: 0.05 μB per atom
formation energy from raw total energies: 542 meV per atom

=====

No. 2
Here is an optimized crystal structure of Tb5Ce3N8 from Alexandria via LeMat-Bulk. Energies are from GGA-PBE.

Cell: 7.0418 7.0418 7.0418 Å, 60.03 60.03 60.03°
Closest atoms and distances in Å follow each position.
Element x y z (fractional)
Tb (0.0000, 0.0000, 0.0000)  6 N 2.49
Tb (0.0000, 0.5000, 0.5000)  6 N 2.49-2.50
Tb (0.5000, 0.0000, 0.5000)  6 N 2.49-2.50
Tb (0.5000, 0.5000, 0.0000)  6 N 2.49-2.50
Tb (0.5000, 0.5000, 0.5000)  6 N 2.49
Ce (0.0000, 0.0000, 0.5000)  6 N 2.48-2.49
Ce (0.0000, 0.5000, 0.0000)  6 N 2.48-2.49
Ce (0.5000, 0.0000, 0.0000)  6 N 2.48-2.49
N (0.2477, 0.7500, 0.7500)  2 Ce 2.48, 4 Tb 2.49-2.50
N (0.2501, 0.2501, 0.2501)  3 Tb 2.49, 3 Ce 2.49
N (0.2500, 0.2500, 0.7523)  2 Ce 2.48, 4 Tb 2.49-2.50
N (0.2500, 0.7523, 0.2500)  2 Ce 2.48, 4 Tb 2.49-2.50
N (0.7500, 0.2477, 0.7500)  2 Ce 2.48, 4 Tb 2.49-2.50
N (0.7500, 0.7500, 0.2477)  2 Ce 2.48, 4 Tb 2.49-2.50
N (0.7499, 0.7499, 0.7499)  3 Tb 2.49, 3 Ce 2.49
N (0.7523, 0.2500, 0.2500)  2 Ce 2.48, 4 Tb 2.49-2.50

magnetization: 0.04 μB per atom
formation energy from raw total energies: -1603 meV per atom

=====

No. 3
Here is an optimized crystal structure of TbTa3O9 from Alexandria via LeMat-Bulk. Energies are from GGA-PBE.

Cell: 8.8178 8.8178 9.6944 Å, 123.07 123.07 36.94°
Closest atoms and distances in Å follow each position.
Element x y z (fractional)
Tb (0.1816, 0.1816, 0.0021)  8 O 2.37-2.59
Tb (0.8184, 0.8184, 0.9979)  8 O 2.37-2.59
Ta (0.0339, 0.1323, 0.2477)  6 O 1.96-2.01
Ta (0.2073, 0.2917, 0.7347)  4 O 1.88-2.00
Ta (0.3812, 0.4709, 0.2579)  5 O 1.86-2.07
Ta (0.5291, 0.6188, 0.7421)  5 O 1.86-2.07
Ta (0.7083, 0.7927, 0.2653)  4 O 1.88-2.00
Ta (0.8677, 0.9661, 0.7523)  6 O 1.96-2.01
O (0.0231, 0.6051, 0.2116)  2 Ta 2.00-2.15
O (0.1173, 0.2051, 0.4968)  2 Ta 1.89-1.98
O (0.1438, 0.8190, 0.2271)  2 Ta 1.99
O (0.1810, 0.8562, 0.7729)  2 Ta 1.99
O (0.2505, 0.4037, 0.9992)  2 Ta 2.07-2.11
O (0.3395, 0.0043, 0.2336)  2 Ta 1.98-2.00
O (0.3949, 0.9769, 0.7884)  2 Ta 2.00-2.15
O (0.4347, 0.5653, 0.5000)  2 Ta 1.93
O (0.5267, 0.1506, 0.7593)  2 Ta 1.88-1.99
O (0.5373, 0.1199, 0.2148)  2 Ta 2.01-2.15
O (0.5963, 0.7495, 0.0008)  2 Ta 2.07-2.11
O (0.6815, 0.3170, 0.7609)  2 Ta 1.86-2.01
O (0.6830, 0.3185, 0.2391)  2 Ta 1.86-2.01
O (0.7949, 0.8827, 0.5032)  2 Ta 1.89-1.98
O (0.8494, 0.4733, 0.2407)  2 Ta 1.88-1.99
O (0.8801, 0.4627, 0.7852)  2 Ta 2.01-2.15
O (0.9472, 0.0528, 0.0000)  2 Ta 1.96
O (0.9957, 0.6605, 0.7664)  2 Ta 1.98-2.00

magnetization: 0.00 μB per atom
energy above the most stable polymorph in this dataset: 39 meV/atom
formation energy from raw total energies: -3001 meV per atom